Computed, not measured: crystalline CaP2S2 at its relaxed geometry at the GGA-PBE level of DFT.

It has space group P4/mmm (No. 123), with a = 5.383 Å, b = 5.383 Å, c = 5.032 Å, α = 90.00°, β = 90.00° and γ = 90.00°. The asymmetric unit holds Ca at (0.000, 0.000, 0.000), P at (0.000, 0.500, 0.000), S at (0.000, 0.000, 0.500) and S at (0.500, 0.500, 0.500).

The value obtained for the total energy is -2.99 eV per atom. The calculation puts the energy above the most stable polymorph in this dataset at 1.5043 eV per atom.